Record 1
Compound: KCeI6
Source: Alexandria via LeMat-Bulk
Functional: GGA-PBE
Structure: optimized geometry

Properties
The calculation puts the formation energy without anion corrections at -1.000 eV/atom. Its space group is P-1 (2). Its crystal system is triclinic. As for the total magnetic moment: 0.03 μB per formula unit. The calculation puts the total energy at -0.2235 Ry per atom. As for the excess energy over the best structure of this formula in the dataset: 12 meV/atom.

a b c (Å): 8.3477 6.8715 9.3769
angles (deg): 52.41 64.93 64.07
With the nearest neighbours (Å) after each atom.
Atoms (fractional coordinates):
I 0.7613 0.9216 0.8788  1 Ce 3.03
I 0.9655 0.5526 0.6663  1 Ce 3.10, 1 I 3.38
I 0.2387 0.0784 0.1212  1 Ce 3.03
K 0.5000 0.5000 0.5000  8 I 3.86-4.17
I 0.6597 0.1635 0.2323  1 Ce 3.00
Ce 0.0000 0.0000 0.0000  6 I 3.00-3.10
I 0.3403 0.8365 0.7677  1 Ce 3.00
I 0.0345 0.4474 0.3337  1 Ce 3.10, 1 I 3.38

Record 2
Compound: LaSmHo
Source: Alexandria via LeMat-Bulk
Functional: GGA-PBE
Structure: optimized geometry

Properties
Its space group is Imm2 (44). Its crystal system is orthorhombic. As for the total magnetic moment: 0.00 μB per formula unit. The formation energy comes out at 23 meV/atom. The calculation puts the total energy at -0.3468 Ry per atom. As for the excess energy over the best structure of this formula in the dataset: 2 meV/atom.

a b c (Å): 3.6490 5.1335 6.2813
angles (deg): 114.12 106.89 90.00
With the nearest neighbours (Å) after each atom.
Atoms (fractional coordinates):
Sm 0.9983 0.9983 0.9966  5 La 3.60-3.64, 5 Ho 3.62-3.66, 2 Sm 3.65
Ho 0.3350 0.3350 0.6700  5 La 3.61-3.64, 5 Sm 3.62-3.66, 2 Ho 3.65
La 0.6667 0.6667 0.3334  5 Sm 3.60-3.64, 5 Ho 3.61-3.64, 2 La 3.65

Record 3
Compound: LiDyY
Source: Alexandria via LeMat-Bulk
Functional: GGA-PBE
Structure: optimized geometry

Properties
Its space group is C2/m (12). Its crystal system is monoclinic. As for the total magnetic moment: 0.00 μB per formula unit. The formation energy comes out at 84 meV/atom. The calculation puts the total energy at -0.3118 Ry per atom. As for the excess energy over the best structure of this formula in the dataset: 0 meV/atom.

a b c (Å): 3.7378 3.7378 12.8677
angles (deg): 108.68 108.68 89.80
With the nearest neighbours (Å) after each atom.
Atoms (fractional coordinates):
Y 0.5476 0.5476 0.7846  5 Li 3.13-3.29, 4 Dy 3.38-3.45
Dy 0.1508 0.1508 0.4038  4 Y 3.38-3.45, 8 Dy 3.39-3.74
Dy 0.8492 0.8492 0.5962  4 Y 3.38-3.45, 8 Dy 3.39-3.74
Y 0.4524 0.4524 0.2154  5 Li 3.13-3.29, 4 Dy 3.38-3.45
Li 0.2044 0.2044 0.9434  4 Li 2.79-3.11
Li 0.7956 0.7956 0.0566  4 Li 2.79-3.11

Record 4
Compound: Ac6As3Se2S
Source: Alexandria via LeMat-Bulk
Functional: GGA-PBE
Structure: optimized geometry

Properties
The calculation puts the formation energy without anion corrections at -1.747 eV/atom. Its space group is C2/m (12). Its crystal system is monoclinic. As for the total magnetic moment: 0.00 μB per formula unit. The calculation puts the total energy at -0.4328 Ry per atom.

a b c (Å): 4.4948 8.9551 10.0304
angles (deg): 102.71 102.95 90.00
With the nearest neighbours (Å) after each atom.
Atoms (fractional coordinates):
Ac 0.6658 0.0771 0.3315  3 As 3.13-3.18, 1 S 3.16, 2 Se 3.21
Ac 0.0022 0.7522 0.0044  3 As 3.15-3.18, 2 S 3.17, 1 Se 3.21
As 0.5000 0.5000 0.0000  6 Ac 3.13-3.18
As 0.8325 0.1660 0.6650  6 Ac 3.13-3.18
Ac 0.3342 0.9229 0.6685  3 As 3.13-3.18, 1 S 3.16, 2 Se 3.21
S 0.5000 0.0000 0.0000  6 Ac 3.16-3.17
As 0.1675 0.8340 0.3350  6 Ac 3.13-3.18
Ac 0.3355 0.4114 0.6711  3 As 3.13, 3 Se 3.21-3.22
Se 0.1664 0.3334 0.3328  6 Ac 3.21-3.22
Ac 0.9978 0.2478 0.9956  3 As 3.15-3.18, 2 S 3.17, 1 Se 3.21
Se 0.8336 0.6666 0.6672  6 Ac 3.21-3.22
Ac 0.6645 0.5886 0.3289  3 As 3.13, 3 Se 3.21-3.22

Record 5
Compound: Rb2PrCd2Te4
Source: Alexandria via LeMat-Bulk
Functional: GGA-PBE
Structure: optimized geometry

Properties
The calculation puts the formation energy without anion corrections at -0.885 eV/atom. Its space group is C2/m (12). Its crystal system is monoclinic. As for the total magnetic moment: 0.00 μB per formula unit. The calculation puts the total energy at -0.2374 Ry per atom.

a b c (Å): 4.5918 9.0353 9.2316
angles (deg): 112.33 104.40 90.00
With the nearest neighbours (Å) after each atom.
Atoms (fractional coordinates):
Cd 0.6876 0.0028 0.3752  3 Te 2.88-2.96, 2 Cd 3.22
Te 0.8069 0.7863 0.6138  2 Cd 2.96, 1 Pr 3.23
Pr 0.0000 0.0000 0.0000  6 Te 3.23-3.24
Cd 0.3124 0.9972 0.6248  3 Te 2.88-2.96, 2 Cd 3.22
Te 0.5229 0.7680 0.0458  1 Cd 2.88
Te 0.1931 0.2137 0.3862  2 Cd 2.96, 1 Pr 3.23
Rb 0.8727 0.4345 0.7454  7 Te 3.80-3.90, 1 Cd 4.01, 1 Rb 4.23
Te 0.4771 0.2320 0.9542  1 Cd 2.88
Rb 0.1273 0.5655 0.2546  7 Te 3.80-3.90, 1 Cd 4.01, 1 Rb 4.23

Record 6
Compound: ThZrSc2
Source: Alexandria via LeMat-Bulk
Functional: GGA-PBE
Structure: optimized geometry

Properties
Its space group is R3m (160). Its crystal system is trigonal. As for the total magnetic moment: 0.00 μB per formula unit. The formation energy comes out at 39 meV/atom. The calculation puts the total energy at -0.5232 Ry per atom. As for the excess energy over the best structure of this formula in the dataset: 26 meV/atom.

a b c (Å): 3.3600 3.3600 10.7665
angles (deg): 81.02 81.02 60.00
With the nearest neighbours (Å) after each atom.
Atoms (fractional coordinates):
Sc 0.2459 0.2459 0.2624  3 Zr 3.17, 6 Sc 3.36, 3 Th 3.38
Sc 0.0875 0.0875 0.7374  3 Zr 3.19, 6 Sc 3.36, 3 Th 3.40
Zr 0.5004 0.5004 0.4987  6 Sc 3.17-3.19, 6 Zr 3.36
Th 0.6661 0.6661 0.0016  6 Th 3.36, 6 Sc 3.38-3.40

Record 7
Compound: Zn2BrCl8
Source: Alexandria via LeMat-Bulk
Functional: GGA-PBE
Structure: optimized geometry

Properties
The calculation puts the formation energy without anion corrections at -0.361 eV/atom. Its space group is C2/m (12). Its crystal system is monoclinic. As for the total magnetic moment: 1.32 μB per formula unit. The calculation puts the total energy at -0.1534 Ry per atom.

a b c (Å): 5.4862 6.3820 10.5955
angles (deg): 72.47 90.04 90.13
With the nearest neighbours (Å) after each atom.
Atoms (fractional coordinates):
Cl 0.5000 0.2497 0.5005  2 Zn 2.74
Cl 0.9975 0.4142 0.6708  2 Zn 2.35
Br 0.5000 0.0000 0.0000  2 Cl 2.31
Cl 0.0025 0.9150 0.6708  2 Zn 2.35
Cl 0.5000 0.7503 0.4995  2 Zn 2.74
Cl 0.9975 0.0850 0.3292  2 Zn 2.35
Cl 0.0025 0.5858 0.3292  2 Zn 2.35
Cl 0.3023 0.3188 0.0000  1 Br 2.31
Cl 0.6977 0.6812 0.0000  1 Br 2.31
Zn 0.0000 0.7498 0.5003  4 Cl 2.35
Zn 0.0000 0.2502 0.4997  4 Cl 2.35

Record 8
Compound: TbEr3Tl2
Source: Alexandria via LeMat-Bulk
Functional: GGA-PBE
Structure: optimized geometry

Properties
Its space group is Cmmm (65). Its crystal system is orthorhombic. As for the total magnetic moment: 0.00 μB per formula unit. The formation energy comes out at -186 meV/atom. The calculation puts the total energy at -0.2960 Ry per atom. As for the excess energy over the best structure of this formula in the dataset: 78 meV/atom.

a b c (Å): 4.8665 8.9353 9.2596
angles (deg): 118.85 105.24 90.00
With the nearest neighbours (Å) after each atom.
Atoms (fractional coordinates):
Er 0.8274 0.0774 0.6549  6 Tl 3.32-3.50, 4 Er 3.42-3.61, 2 Tb 3.48
Tb 0.0000 0.5000 0.0000  8 Er 3.30-3.48, 4 Tl 3.40
Er 0.8274 0.5774 0.6549  6 Tl 3.32-3.50, 4 Er 3.42-3.61, 2 Tb 3.48
Tb 0.0000 0.0000 0.0000  8 Er 3.30-3.48, 4 Tl 3.40
Er 0.1726 0.4226 0.3451  6 Tl 3.32-3.50, 4 Er 3.42-3.61, 2 Tb 3.48
Tl 0.6535 0.6535 0.3069  8 Er 3.26-3.50, 2 Tb 3.40
Tl 0.6535 0.1535 0.3069  8 Er 3.26-3.50, 2 Tb 3.40
Tl 0.3465 0.8465 0.6931  8 Er 3.26-3.50, 2 Tb 3.40
Tl 0.3465 0.3465 0.6931  8 Er 3.26-3.50, 2 Tb 3.40
Er 0.5000 0.2500 0.0000  4 Tl 3.26, 4 Tb 3.30, 4 Er 3.61
Er 0.5000 0.7500 0.0000  4 Tl 3.26, 4 Tb 3.30, 4 Er 3.61
Er 0.1726 0.9226 0.3451  6 Tl 3.32-3.50, 4 Er 3.42-3.61, 2 Tb 3.48

Record 9
Compound: HgTePt2
Source: Alexandria via LeMat-Bulk
Functional: GGA-PBE
Structure: optimized geometry

Properties
The calculation puts the formation energy without anion corrections at -0.048 eV/atom. Its space group is Amm2 (38). Its crystal system is orthorhombic. As for the total magnetic moment: 0.00 μB per formula unit. The calculation puts the total energy at -0.2888 Ry per atom. As for the excess energy over the best structure of this formula in the dataset: 0 meV/atom.

a b c (Å): 3.9470 4.9679 4.9743
angles (deg): 65.44 90.00 90.00
With the nearest neighbours (Å) after each atom.
Atoms (fractional coordinates):
Hg 0.5000 0.7757 0.7765  4 Pt 2.70-2.88
Te 0.0000 0.4537 0.4530  4 Pt 2.64-2.76
Pt 0.0000 0.0266 0.0256  2 Pt 2.69, 2 Te 2.76, 2 Hg 2.88
Pt 0.5000 0.2440 0.2448  2 Te 2.64, 2 Pt 2.69, 2 Hg 2.70

Record 10
Compound: InFe2Ag
Source: Alexandria via LeMat-Bulk
Functional: GGA-PBE
Structure: optimized geometry

Properties
Its space group is F-43m (216). Its crystal system is cubic. As for the total magnetic moment: 5.17 μB per formula unit. The formation energy comes out at 315 meV/atom. The calculation puts the total energy at -0.3905 Ry per atom.

a b c (Å): 4.4678 4.4678 4.4678
angles (deg): 60.00 60.00 60.00
With the nearest neighbours (Å) after each atom.
Atoms (fractional coordinates):
Ag 0.5000 0.5000 0.5000  4 In 2.74, 4 Fe 2.74
Fe 0.0000 0.0000 0.0000  4 Fe 2.74, 4 In 2.74
Fe 0.7500 0.7500 0.7500  4 Fe 2.74, 4 Ag 2.74
In 0.2500 0.2500 0.2500  4 Fe 2.74, 4 Ag 2.74

Record 11
Compound: Tl5S6
Source: Alexandria via LeMat-Bulk
Functional: GGA-PBE
Structure: optimized geometry

Properties
The calculation puts the formation energy without anion corrections at -0.127 eV/atom. Its space group is C2/m (12). Its crystal system is monoclinic. As for the total magnetic moment: 0.00 μB per formula unit. The calculation puts the total energy at -0.2539 Ry per atom. As for the excess energy over the best structure of this formula in the dataset: 0 meV/atom.

a b c (Å): 7.2992 8.4917 8.4917
angles (deg): 131.65 102.42 102.42
With the nearest neighbours (Å) after each atom.
Atoms (fractional coordinates):
S 0.1524 0.3035 0.9850  1 S 2.07
Tl 0.0000 0.3451 0.6549  4 S 3.06-3.20
Tl 0.5000 0.5000 0.5000  2 S 3.00
Tl 0.0000 0.6549 0.3451  4 S 3.06-3.20
S 0.8476 0.0150 0.6965  1 S 2.07
S 0.6341 0.1593 0.1593  1 S 2.05
Tl 0.5000 0.8132 0.1868  6 S 3.07-3.41
S 0.1524 0.9850 0.3035  1 S 2.07
S 0.3659 0.8407 0.8407  1 S 2.05
S 0.8476 0.6965 0.0150  1 S 2.07
Tl 0.5000 0.1868 0.8132  6 S 3.07-3.41

Record 12
Compound: SbPbSe3
Source: Alexandria via LeMat-Bulk
Functional: GGA-PBE
Structure: optimized geometry

Properties
The calculation puts the formation energy without anion corrections at 0.069 eV/atom. Its space group is Pm-3m (221). Its crystal system is cubic. As for the total magnetic moment: 0.00 μB per formula unit. The calculation puts the total energy at -0.2637 Ry per atom. As for the excess energy over the best structure of this formula in the dataset: 377 meV/atom.

a b c (Å): 5.3332 5.3332 5.3332
angles (deg): 90.00 90.00 90.00
With the nearest neighbours (Å) after each atom.
Atoms (fractional coordinates):
Sb 0.0000 0.0000 0.0000  6 Se 2.67
Pb 0.5000 0.5000 0.5000  12 Se 3.77
Se 0.0000 0.5000 0.0000  2 Sb 2.67
Se 0.0000 0.0000 0.5000  2 Sb 2.67
Se 0.5000 0.0000 0.0000  2 Sb 2.67